Record 1
Computed, not measured: CaTmTl after structural relaxation at the PBE-GGA level of DFT.

The structure belongs to space group C2/m (No. 12); the cell edges are 6.908, 6.907 and 8.031 Å and the angles 90.00°, 90.04° and 90.00°. The distinct sites, in fractional coordinates, are Ca at (0.250, 0.000, 0.144), Tm at (0.000, 0.250, 0.500) and Tl at (0.250, 0.000, 0.745).

As for the density: 7.2 g/cm³. As for the energy above the most stable polymorph in this dataset: 4.8 kJ/mol of atoms. The value obtained for the density of states at the Fermi level is 9.0 states/eV/cell. As for the calculated formation energy: -69.5 kJ/mol of formula units. As for the crystal system: monoclinic.

---

Record 2
Computed, not measured: Ca4TmTl5 after structural relaxation at the PBE-GGA level of DFT.

The structure belongs to space group P4/mmm (No. 123); the cell edges are 3.862, 3.862 and 19.265 Å and the angles 90.00°, 90.00° and 90.00°. The distinct sites, in fractional coordinates, are Ca at (0.000, 0.000, 0.102), Ca at (0.000, 0.000, 0.303), Tm at (0.000, 0.000, 0.500), Tl at (0.500, 0.500, 0.000), Tl at (0.500, 0.500, 0.202) and Tl at (0.500, 0.500, 0.406).

As for the density: 7.8 g/cm³. The value obtained for the density of states at the Fermi level is 5.8 states/eV/cell. As for the calculated formation energy: -397.3 kJ/mol of formula units. As for the crystal system: tetragonal.

---

Record 3
Computed, not measured: Ca2TmTl after structural relaxation at the PBE-GGA level of DFT.

The structure belongs to space group P4/mmm (No. 123); the cell edges are 4.162, 4.162 and 7.330 Å and the angles 90.00°, 90.00° and 90.00°. The distinct sites, in fractional coordinates, are Ca at (0.000, 0.000, 0.236), Tm at (0.500, 0.500, 0.500) and Tl at (0.500, 0.500, 0.000).

As for the density: 5.9 g/cm³. As for the energy above the most stable polymorph in this dataset: 6.7 kJ/mol of atoms. The value obtained for the density of states at the Fermi level is 2.9 states/eV/cell. As for the calculated formation energy: -31.6 kJ/mol of formula units. As for the crystal system: tetragonal.

---

Record 4
Computed, not measured: CaTmTl after structural relaxation at the PBE-GGA level of DFT.

The structure belongs to space group I4mm (No. 107); the cell edges are 3.468, 3.468 and 17.332 Å and the angles 90.00°, 90.00° and 90.00°. The distinct sites, in fractional coordinates, are Ca at (0.000, 0.000, 0.000), Tm at (0.000, 0.000, 0.801) and Tl at (0.000, 0.000, 0.178).

As for the density: 6.6 g/cm³. As for the energy above the most stable polymorph in this dataset: 50.8 kJ/mol of atoms. The value obtained for the density of states at the Fermi level is 5.5 states/eV/cell. As for the calculated formation energy: 68.5 kJ/mol of formula units. As for the crystal system: tetragonal.

---

Record 5
Computed, not measured: CaTmTl after structural relaxation at the PBE-GGA level of DFT.

The structure belongs to space group P6_3/mmc (No. 194); the cell edges are 5.3580, 5.3580 and 6.9327 Å and the angles 90.00°, 90.00° and 120.00°. The distinct sites, in fractional coordinates, are Ca at (0.0000, 0.0000, 0.0000), Tm at (0.3333, 0.6667, 0.2500) and Tl at (0.3333, 0.6667, 0.7500).

As for the density: 8.0 g/cm³. As for the energy above the most stable polymorph in this dataset: 0.0 kJ/mol of atoms. The value obtained for the density of states at the Fermi level is 1.6 states/eV/cell. As for the calculated formation energy: -83.8 kJ/mol of formula units. As for the crystal system: hexagonal.

---

Record 6
Computed, not measured: CaTmTl4 after structural relaxation at the PBE-GGA level of DFT.

The structure belongs to space group C2/m (No. 12); the cell edges are 6.521, 8.363 and 7.353 Å and the angles 90.00°, 113.52° and 90.00°. The distinct sites, in fractional coordinates, are Ca at (0.000, 0.000, 0.000), Tm at (0.000, 0.500, 0.500) and Tl at (0.249, 0.190, 0.734).

As for the density: 9.3 g/cm³. As for the energy above the most stable polymorph in this dataset: 5.6 kJ/mol of atoms. The value obtained for the density of states at the Fermi level is 5.5 states/eV/cell. As for the calculated formation energy: -58.2 kJ/mol of formula units. As for the crystal system: monoclinic.

---

Which value of density does entry 3 give? 5.9 g/cm³

---

Number 2 is which compound? Ca4TmTl5

---

Look up the density of the third one. 5.9 g/cm³